Record 1
Ho2NpPaP4 (PBE, relaxed); formation energy from the elements = -1.354 eV per atom; VASP energy = -8.01 eV/atom; density = 8.623 g cm⁻³
1.0
6.8711 0.0000 0.0000
0.0000 3.9746 0.0000
-2.3025 0.0000 6.5002
Ho Np Pa P
2 1 1 4
Direct
0.0000 0.0000 0.0000
0.5000 0.5000 0.0000
0.0000 0.5000 0.5000
0.5000 0.0000 0.5000
0.2493 0.0000 0.7465
0.2516 0.5000 0.2520
0.7484 0.5000 0.7480
0.7507 0.0000 0.2535

---

Record 2
HoNp2PaP4 (PBE, relaxed); formation energy from the elements = -1.169 eV per atom; VASP energy = -8.87 eV/atom; density = 9.314 g cm⁻³
1.0
6.8636 0.0000 0.0000
0.0000 3.9794 0.0000
-2.3097 0.0000 6.4873
Ho Np Pa P
1 2 1 4
Direct
0.0000 0.0000 0.0000
0.5000 0.0000 0.5000
0.5000 0.5000 0.0000
0.0000 0.5000 0.5000
0.2505 0.0000 0.7501
0.2522 0.5000 0.2522
0.7478 0.5000 0.7478
0.7495 0.0000 0.2499

---

Record 3
Pm2HoNpP4 (PBE, relaxed); formation energy from the elements = -1.393 eV per atom; VASP energy = -7.48 eV/atom; density = 7.234 g cm⁻³
1.0
6.9978 0.0000 0.0000
0.0000 4.0416 0.0000
-2.3185 0.0000 6.6211
Pm Ho Np P
2 1 1 4
Direct
0.0000 0.0000 0.0000
0.5000 0.5000 0.0000
0.0000 0.5000 0.5000
0.5000 0.0000 0.5000
0.2500 0.0000 0.7378
0.2571 0.5000 0.2632
0.7429 0.5000 0.7368
0.7500 0.0000 0.2622

---

Record 4
Pr2HoNpP4 (PBE, relaxed); formation energy from the elements = -1.364 eV per atom; VASP energy = -7.45 eV/atom; density = 6.973 g cm⁻³
1.0
7.0563 0.0000 0.0000
0.0000 4.0768 0.0000
-2.3392 0.0000 6.6859
Pr Ho Np P
2 1 1 4
Direct
0.0000 0.0000 0.0000
0.5000 0.5000 0.0000
0.0000 0.5000 0.5000
0.5000 0.0000 0.5000
0.2487 0.0000 0.7333
0.2589 0.5000 0.2681
0.7411 0.5000 0.7319
0.7513 0.0000 0.2667

---

Record 5
PrHo2NpP4 (PBE, relaxed); formation energy from the elements = -1.379 eV per atom; VASP energy = -7.44 eV/atom; density = 7.451 g cm⁻³
1.0
6.9729 0.0000 0.0000
0.0000 4.0275 0.0000
-2.3176 0.0000 6.5997
Pr Ho Np P
1 2 1 4
Direct
0.0000 0.0000 0.0000
0.5000 0.0000 0.5000
0.5000 0.5000 0.0000
0.0000 0.5000 0.5000
0.2513 0.0000 0.7422
0.2560 0.5000 0.2621
0.7440 0.5000 0.7379
0.7487 0.0000 0.2578

---

Record 6
HoPu2NpP4 (PBE, relaxed); formation energy from the elements = -1.165 eV per atom; VASP energy = -9.64 eV/atom; density = 9.465 g cm⁻³
1.0
6.8736 0.0000 0.0000
0.0000 3.9856 0.0000
-2.3070 0.0000 6.4928
Ho Pu Np P
1 2 1 4
Direct
0.0000 0.0000 0.0000
0.0000 0.5000 0.5000
0.5000 0.0000 0.5000
0.5000 0.5000 0.0000
0.2535 0.0000 0.7529
0.2554 0.5000 0.2494
0.7446 0.5000 0.7506
0.7465 0.0000 0.2471

---

Record 7
HoNpP2Rh5 (PBE, relaxed); formation energy from the elements = -0.467 eV per atom; VASP energy = -7.70 eV/atom; density = 9.430 g cm⁻³
1.0
3.9972 0.0000 0.0000
0.0000 3.9972 0.0000
0.0000 0.0000 10.7832
Ho Np P Rh
1 1 2 5
Direct
0.0000 0.0000 0.0000
0.5000 0.5000 0.5000
0.5000 0.5000 0.2086
0.5000 0.5000 0.7914
0.0000 0.5000 0.3139
0.0000 0.5000 0.6861
0.5000 0.0000 0.3139
0.5000 0.0000 0.6861
0.5000 0.5000 0.0000

---

Record 8
HoNp2ScP4 (PBE, relaxed); formation energy from the elements = -1.173 eV per atom; VASP energy = -8.48 eV/atom; density = 7.928 g cm⁻³
1.0
6.7774 0.0000 0.0000
0.0000 3.9026 0.0000
-2.2551 0.0000 6.3973
Ho Np Sc P
1 2 1 4
Direct
0.0000 0.0000 0.0000
0.5000 0.0000 0.5000
0.5000 0.5000 0.0000
0.0000 0.5000 0.5000
0.2446 0.0000 0.7419
0.2491 0.5000 0.2567
0.7509 0.5000 0.7433
0.7554 0.0000 0.2581

---

Record 9
Sm2HoNpP4 (PBE, relaxed); formation energy from the elements = -1.399 eV per atom; VASP energy = -7.47 eV/atom; density = 7.395 g cm⁻³
1.0
6.9784 0.0000 0.0000
0.0000 4.0298 0.0000
-2.3117 0.0000 6.5997
Sm Ho Np P
2 1 1 4
Direct
0.0000 0.0000 0.0000
0.5000 0.5000 0.0000
0.0000 0.5000 0.5000
0.5000 0.0000 0.5000
0.2505 0.0000 0.7394
0.2564 0.5000 0.2616
0.7436 0.5000 0.7384
0.7495 0.0000 0.2606

---

Record 10
SmHoNp2P4 (PBE, relaxed); formation energy from the elements = -1.224 eV per atom; VASP energy = -8.33 eV/atom; density = 8.391 g cm⁻³
1.0
6.9210 0.0000 0.0000
0.0000 3.9953 0.0000
-2.3065 0.0000 6.5353
Sm Ho Np P
1 1 2 4
Direct
0.0000 0.0000 0.0000
0.5000 0.5000 0.0000
0.0000 0.5000 0.5000
0.5000 0.0000 0.5000
0.2511 0.0000 0.7420
0.2575 0.5000 0.2610
0.7425 0.5000 0.7390
0.7489 0.0000 0.2580

---

Record 11
Sr2HoNpP4 (PBE, relaxed); formation energy from the elements = -1.112 eV per atom; VASP energy = -6.43 eV/atom; density = 5.724 g cm⁻³
1.0
7.0974 0.0000 0.0000
0.0000 4.1434 0.0000
-2.3604 0.0000 6.9163
Sr Ho Np P
2 1 1 4
Direct
0.0000 0.0000 0.0000
0.5000 0.5000 0.0000
0.0000 0.5000 0.5000
0.5000 0.0000 0.5000
0.2504 0.0000 0.7143
0.2711 0.5000 0.2891
0.7289 0.5000 0.7109
0.7496 0.0000 0.2857

---

Record 12
Ho2ThNpP4 (PBE, relaxed); formation energy from the elements = -1.407 eV per atom; VASP energy = -7.80 eV/atom; density = 8.309 g cm⁻³
1.0
6.9677 0.0000 0.0000
0.0000 4.0288 0.0000
-2.3312 0.0000 6.5695
Ho Th Np P
2 1 1 4
Direct
0.0000 0.0000 0.0000
0.0000 0.5000 0.5000
0.5000 0.0000 0.5000
0.5000 0.5000 0.0000
0.2445 0.5000 0.2429
0.2492 0.0000 0.7557
0.7508 0.0000 0.2443
0.7555 0.5000 0.7571

---

Record 13
HoThNp2P4 (PBE, relaxed); formation energy from the elements = -1.199 eV per atom; VASP energy = -8.64 eV/atom; density = 9.008 g cm⁻³
1.0
6.9500 0.0000 0.0000
0.0000 4.0194 0.0000
-2.3296 0.0000 6.5648
Ho Th Np P
1 1 2 4
Direct
0.0000 0.0000 0.0000
0.0000 0.5000 0.5000
0.5000 0.0000 0.5000
0.5000 0.5000 0.0000
0.2573 0.5000 0.2483
0.2601 0.0000 0.7596
0.7399 0.0000 0.2404
0.7427 0.5000 0.7517

---

Record 14
Ho2TmNpP4 (PBE, relaxed); formation energy from the elements = -1.419 eV per atom; VASP energy = -7.44 eV/atom; density = 8.106 g cm⁻³
1.0
6.8612 0.0000 0.0000
0.0000 3.9607 0.0000
-2.2726 0.0000 6.4802
Ho Tm Np P
2 1 1 4
Direct
0.0000 0.0000 0.0000
0.5000 0.5000 0.0000
0.0000 0.5000 0.5000
0.5000 0.0000 0.5000
0.2509 0.0000 0.7457
0.2523 0.5000 0.2540
0.7477 0.5000 0.7460
0.7491 0.0000 0.2543

---

Record 15
HoTmNp2P4 (PBE, relaxed); formation energy from the elements = -1.236 eV per atom; VASP energy = -8.31 eV/atom; density = 8.826 g cm⁻³
1.0
6.8512 0.0000 0.0000
0.0000 3.9584 0.0000
-2.2870 0.0000 6.4642
Ho Tm Np P
1 1 2 4
Direct
0.0000 0.0000 0.0000
0.0000 0.5000 0.5000
0.5000 0.0000 0.5000
0.5000 0.5000 0.0000
0.2532 0.0000 0.7499
0.2541 0.5000 0.2526
0.7459 0.5000 0.7474
0.7468 0.0000 0.2501

---

Record 16
Ho2NpUP4 (PBE, relaxed); formation energy from the elements = -1.270 eV per atom; VASP energy = -8.15 eV/atom; density = 8.765 g cm⁻³
1.0
6.8346 0.0000 0.0000
0.0000 3.9514 0.0000
-2.2824 0.0000 6.5155
Ho Np U P
2 1 1 4
Direct
0.0000 0.0000 0.0000
0.5000 0.5000 0.0000
0.0000 0.5000 0.5000
0.5000 0.0000 0.5000
0.2498 0.0000 0.7456
0.2528 0.5000 0.2539
0.7472 0.5000 0.7461
0.7502 0.0000 0.2544

---

Record 17
HoNpU2P4 (PBE, relaxed); formation energy from the elements = -1.103 eV per atom; VASP energy = -8.82 eV/atom; density = 9.501 g cm⁻³
1.0
6.8394 0.0000 0.0000
0.0000 3.9437 0.0000
-2.2777 0.0000 6.4922
Ho Np U P
1 1 2 4
Direct
0.0000 0.0000 0.0000
0.5000 0.5000 0.0000
0.0000 0.5000 0.5000
0.5000 0.0000 0.5000
0.2501 0.0000 0.7486
0.2520 0.5000 0.2535
0.7480 0.5000 0.7465
0.7499 0.0000 0.2514

---

Record 18
YHoNp2P4 (PBE, relaxed); formation energy from the elements = -1.242 eV per atom; VASP energy = -8.56 eV/atom; density = 7.964 g cm⁻³
1.0
6.8845 0.0000 0.0000
0.0000 3.9740 0.0000
-2.2942 0.0000 6.4911
Y Ho Np P
1 1 2 4
Direct
0.0000 0.0000 0.0000
0.5000 0.5000 0.0000
0.0000 0.5000 0.5000
0.5000 0.0000 0.5000
0.2490 0.0000 0.7442
0.2531 0.5000 0.2566
0.7469 0.5000 0.7434
0.7510 0.0000 0.2558

---

Record 19
Y2HoNpP4 (PBE, relaxed); formation energy from the elements = -1.429 eV per atom; VASP energy = -7.94 eV/atom; density = 6.514 g cm⁻³
1.0
6.9057 0.0000 0.0000
0.0000 3.9844 0.0000
-2.2872 0.0000 6.5190
Y Ho Np P
2 1 1 4
Direct
0.0000 0.0000 0.0000
0.5000 0.5000 0.0000
0.0000 0.5000 0.5000
0.5000 0.0000 0.5000
0.2521 0.0000 0.7453
0.2540 0.5000 0.2553
0.7460 0.5000 0.7447
0.7479 0.0000 0.2547

---

Record 20
HoZr2NpP4 (PBE, relaxed); formation energy from the elements = -1.328 eV per atom; VASP energy = -8.36 eV/atom; density = 7.309 g cm⁻³
1.0
6.6438 0.0000 0.0000
0.0000 3.8374 0.0000
-2.2037 0.0000 6.3113
Ho Zr Np P
1 2 1 4
Direct
0.0000 0.0000 0.0000
0.0000 0.5000 0.5000
0.5000 0.0000 0.5000
0.5000 0.5000 0.0000
0.2480 0.0000 0.7392
0.2558 0.5000 0.2613
0.7442 0.5000 0.7387
0.7520 0.0000 0.2608

---

Record 21
HoZrNp2P4 (PBE, relaxed); formation energy from the elements = -1.180 eV per atom; VASP energy = -8.76 eV/atom; density = 8.448 g cm⁻³
1.0
6.7483 0.0000 0.0000
0.0000 3.8939 0.0000
-2.2441 0.0000 6.3885
Ho Zr Np P
1 1 2 4
Direct
0.0000 0.0000 0.0000
0.0000 0.5000 0.5000
0.5000 0.0000 0.5000
0.5000 0.5000 0.0000
0.2437 0.0000 0.7420
0.2478 0.5000 0.2570
0.7522 0.5000 0.7430
0.7563 0.0000 0.2580

---

Record 22
Ho2NpPaSb4 (PBE, relaxed); VASP energy = -6.73 eV/atom; energy relative to the elements, uncorrected = -0.719 eV per atom; density = 9.008 g cm⁻³
1.0
7.5535 0.0000 0.0000
0.0000 4.3685 0.0000
-2.5232 0.0000 7.1784
Ho Np Pa Sb
2 1 1 4
Direct
0.0000 0.0000 0.0000
0.5000 0.5000 0.0000
0.0000 0.5000 0.5000
0.5000 0.0000 0.5000
0.2505 0.5000 0.2474
0.2520 0.0000 0.7522
0.7480 0.0000 0.2478
0.7495 0.5000 0.7526

---

Record 23
HoNp2PaSb4 (PBE, relaxed); VASP energy = -7.55 eV/atom; energy relative to the elements, uncorrected = -0.496 eV per atom; density = 9.469 g cm⁻³
1.0
7.5582 0.0000 0.0000
0.0000 4.3854 0.0000
-2.5505 0.0000 7.1792
Ho Np Pa Sb
1 2 1 4
Direct
0.0000 0.0000 0.0000
0.5000 0.0000 0.5000
0.5000 0.5000 0.0000
0.0000 0.5000 0.5000
0.2466 0.0000 0.7500
0.2472 0.5000 0.2493
0.7534 0.0000 0.2500
0.7528 0.5000 0.7507

---

Record 24
HoNpPd6 (PBE, relaxed); formation energy from the elements = -0.687 eV per atom; VASP energy = -6.77 eV/atom; density = 12.337 g cm⁻³
1.0
4.1199 0.0000 0.0000
0.0000 4.1199 0.0000
0.0000 0.0000 8.2504
Ho Np Pd
1 1 6
Direct
0.0000 0.0000 0.0000
0.0000 0.0000 0.5000
0.0000 0.5000 0.2521
0.0000 0.5000 0.7479
0.5000 0.0000 0.2521
0.5000 0.0000 0.7479
0.5000 0.5000 0.0000
0.5000 0.5000 0.5000